Sr2Tl4Pb3 | PBE | optimized geometry

The space group is C2/m (No. 12) and the conventional cell measures 10.967, 5.019 and 10.874 Å, with angles of 90.00, 105.70 and 90.00 degrees. Symmetry generates all atoms from Sr at (0.164, 0.000, 0.223), Tl at (0.003, 0.500, 0.342), Tl at (0.171, 0.000, 0.896), Pb at (0.000, 0.500, 0.000) and Pb at (0.161, 0.000, 0.558).

For the density of states at the Fermi level, the calculation gives 4.64 states/eV/f.u. The value obtained for the calculated volume is 32.01 A^3/atom. As for the crystal system: monoclinic. The value obtained for the uncorrected energy is -2.9130 eV/atom. The energy relative to the elements comes out at -0.2514 eV per atom.

SrTlPb2 | PBE | optimized geometry

The space group is Pmm2 (No. 25) and the conventional cell measures 3.974, 4.427 and 7.444 Å, with angles of 90.00, 90.00 and 90.00 degrees. Symmetry generates all atoms from Sr at (0.000, 0.000, 0.000), Tl at (0.500, 0.500, 0.270), Pb at (0.000, 0.000, 0.499) and Pb at (0.500, 0.500, 0.718).

For the density of states at the Fermi level, the calculation gives 1.96 states/eV/f.u. The value obtained for the calculated volume is 32.74 A^3/atom. As for the crystal system: orthorhombic. The value obtained for the uncorrected energy is -3.1087 eV/atom. The energy relative to the elements comes out at -0.2425 eV per atom.

SrTl3Pb2 | PBE | optimized geometry

The space group is Cmcm (No. 63) and the conventional cell measures 7.031, 17.132 and 6.545 Å, with angles of 90.00, 90.00 and 90.00 degrees. Symmetry generates all atoms from Sr at (0.000, 0.157, 0.250), Tl at (0.000, 0.351, 0.750), Tl at (0.249, 0.333, 0.250) and Pb at (0.238, 0.500, 0.000).

For the density of states at the Fermi level, the calculation gives 2.57 states/eV/f.u. The value obtained for the calculated volume is 32.85 A^3/atom. As for the crystal system: orthorhombic. The value obtained for the uncorrected energy is -2.8350 eV/atom. The energy relative to the elements comes out at -0.1355 eV per atom.

Sr7Tl2Pb2 | PBE | optimized geometry

The space group is Cmmm (No. 65) and the conventional cell measures 8.594, 12.485 and 8.804 Å, with angles of 90.00, 90.00 and 90.00 degrees. Symmetry generates all atoms from Sr at (0.000, 0.000, 0.000), Sr at (0.000, 0.500, 0.245), Sr at (0.250, 0.250, 0.286), Tl at (0.000, 0.284, 0.000) and Pb at (0.187, 0.000, 0.500).

For the density of states at the Fermi level, the calculation gives 11.56 states/eV/f.u. The value obtained for the calculated volume is 42.94 A^3/atom. As for the crystal system: orthorhombic. The value obtained for the uncorrected energy is -2.4187 eV/atom. The energy relative to the elements comes out at -0.2440 eV per atom.

SrTlPb2 | PBE | optimized geometry

The space group is P4/mmm (No. 123) and the conventional cell measures 3.779, 3.779 and 9.377 Å, with angles of 90.00, 90.00 and 90.00 degrees. Symmetry generates all atoms from Sr at (0.000, 0.000, 0.000), Tl at (0.000, 0.000, 0.500) and Pb at (0.500, 0.500, 0.256).

For the density of states at the Fermi level, the calculation gives 1.72 states/eV/f.u. The value obtained for the calculated volume is 33.48 A^3/atom. As for the crystal system: tetragonal. The value obtained for the uncorrected energy is -3.0341 eV/atom. The energy relative to the elements comes out at -0.1679 eV per atom.

SrTl6Pb3 | PBE | optimized geometry

The space group is Cmc2_1 (No. 36) and the conventional cell measures 9.441, 16.684 and 8.344 Å, with angles of 90.00, 90.00 and 90.00 degrees. Symmetry generates all atoms from Sr at (0.000, 0.189, 0.000), Tl at (0.000, 0.037, 0.292), Tl at (0.000, 0.284, 0.395), Tl at (0.192, 0.334, 0.755), Tl at (0.204, 0.456, 0.447), Pb at (0.000, 0.402, 0.066) and Pb at (0.174, 0.145, 0.624).

For the density of states at the Fermi level, the calculation gives 5.13 states/eV/f.u. The value obtained for the calculated volume is 32.86 A^3/atom. As for the crystal system: orthorhombic. The value obtained for the uncorrected energy is -2.7619 eV/atom. The energy relative to the elements comes out at -0.0614 eV per atom.

SrTl6Pb | PBE | optimized geometry

The space group is Amm2 (No. 38) and the conventional cell measures 5.649, 7.615 and 11.640 Å, with angles of 90.00, 90.00 and 90.00 degrees. Symmetry generates all atoms from Sr at (0.000, 0.000, 0.000), Tl at (0.000, 0.000, 0.515), Tl at (0.000, 0.240, 0.258), Tl at (0.500, 0.000, 0.208), Tl at (0.500, 0.227, 0.457) and Pb at (0.500, 0.000, 0.718).

For the density of states at the Fermi level, the calculation gives 3.65 states/eV/f.u. The value obtained for the calculated volume is 31.29 A^3/atom. As for the crystal system: orthorhombic. The value obtained for the uncorrected energy is -2.5661 eV/atom. The energy relative to the elements comes out at -0.1177 eV per atom.

SrTlPb2 | PBE | optimized geometry

The space group is I4/mmm (No. 139) and the conventional cell measures 4.960, 4.960 and 10.423 Å, with angles of 90.00, 90.00 and 90.00 degrees. Symmetry generates all atoms from Sr at (0.000, 0.000, 0.000), Tl at (0.000, 0.000, 0.500) and Pb at (0.000, 0.500, 0.250).

For the density of states at the Fermi level, the calculation gives 1.81 states/eV/f.u. The value obtained for the calculated volume is 32.05 A^3/atom. As for the crystal system: tetragonal. The value obtained for the uncorrected energy is -3.1700 eV/atom. The energy relative to the elements comes out at -0.3038 eV per atom.